# 1
Here is a relaxed structure of NdGdBiAu from the Alexandria database. Energies are from PBE-GGA.

Results
The energy of formation comes out at -16.160 kcal/mol of atoms. As for the density of states at the Fermi level: 5.72 states/eV/f.u.

The structure in POSCAR format:
```
NdGdBiAu
1.0
5.399 0.000 0.000
2.699 4.676 0.000
2.699 1.559 4.408
Bi Gd Nd Au
1 1 1 1
Direct
0.750 0.750 0.750
0.500 0.500 0.500
0.000 0.000 0.000
0.250 0.250 0.250
```

---

# 2
Here is a relaxed structure of GdPaBiAu from the Alexandria database. Energies are from PBE-GGA.

Results
The energy of formation comes out at -7.707 kcal/mol of atoms. As for the density of states at the Fermi level: 9.35 states/eV/f.u.

The structure in POSCAR format:
```
GdPaBiAu
1.0
5.321 0.000 0.000
2.660 4.608 0.000
2.660 1.536 4.344
Pa Bi Au Gd
1 1 1 1
Direct
0.250 0.250 0.250
0.500 0.500 0.500
0.000 0.000 0.000
0.750 0.750 0.750
```

---

# 3
Here is a relaxed structure of GdBiPbAu from the Alexandria database. Energies are from PBE-GGA.

Results
The energy of formation comes out at -8.592 kcal/mol of atoms. As for the density of states at the Fermi level: 3.48 states/eV/f.u.

The structure in POSCAR format:
```
GdBiPbAu
1.0
-1.161 0.596 -5.218
-4.652 -1.867 -1.950
-3.848 3.434 -1.524
Bi Pb Au Gd
1 1 1 1
Direct
0.500 0.500 0.500
0.750 0.750 0.750
0.000 0.000 0.000
0.250 0.250 0.250
```

---

# 4
Here is a relaxed structure of GdBiPdAu from the Alexandria database. Energies are from PBE-GGA.

Results
The energy of formation comes out at -14.597 kcal/mol of atoms. As for the density of states at the Fermi level: 3.19 states/eV/f.u.

The structure in POSCAR format:
```
GdBiPdAu
1.0
-1.781 3.904 2.628
-2.718 -0.796 4.159
1.935 1.085 4.517
Bi Gd Pd Au
1 1 1 1
Direct
0.250 0.250 0.250
0.750 0.750 0.750
0.500 0.500 0.500
0.000 0.000 0.000
```

---

# 5
Here is a relaxed structure of PmGdBiAu from the Alexandria database. Energies are from PBE-GGA.

Results
The energy of formation comes out at -16.161 kcal/mol of atoms. As for the density of states at the Fermi level: 5.85 states/eV/f.u.

The structure in POSCAR format:
```
PmGdBiAu
1.0
-5.326 -0.521 -0.539
-2.022 -2.898 -4.055
-2.353 -4.734 0.990
Pm Gd Bi Au
1 1 1 1
Direct
0.750 0.750 0.750
0.250 0.250 0.250
0.500 0.500 0.500
0.000 0.000 0.000
```

---

# 6
Here is a relaxed structure of PrGdBiAu from the Alexandria database. Energies are from PBE-GGA.

Results
The energy of formation comes out at -16.162 kcal/mol of atoms. As for the density of states at the Fermi level: 5.92 states/eV/f.u.

The structure in POSCAR format:
```
PrGdBiAu
1.0
5.419 0.000 0.000
2.710 4.693 0.000
2.710 1.564 4.425
Pr Gd Bi Au
1 1 1 1
Direct
0.250 0.250 0.250
0.750 0.750 0.750
0.500 0.500 0.500
0.000 0.000 0.000
```

---

# 7
Here is a relaxed structure of GdBiPtAu from the Alexandria database. Energies are from PBE-GGA.

Results
The energy of formation comes out at -15.132 kcal/mol of atoms. As for the density of states at the Fermi level: 2.71 states/eV/f.u.

The structure in POSCAR format:
```
GdBiPtAu
1.0
-2.528 -0.512 -4.319
-0.620 -4.563 -2.026
-4.548 -2.149 -0.013
Au Gd Pt Bi
1 1 1 1
Direct
0.500 0.500 0.500
0.250 0.250 0.250
0.000 0.000 0.000
0.750 0.750 0.750
```

---

# 8
Here is a relaxed structure of GdPuBiAu from the Alexandria database. Energies are from PBE-GGA.

Results
The energy of formation comes out at -12.843 kcal/mol of atoms. As for the density of states at the Fermi level: 12.83 states/eV/f.u.

The structure in POSCAR format:
```
GdPuBiAu
1.0
-2.316 1.988 4.373
-4.455 -2.228 1.905
0.135 -2.745 4.571
Au Pu Bi Gd
1 1 1 1
Direct
0.500 0.500 0.500
0.250 0.250 0.250
0.000 0.000 0.000
0.750 0.750 0.750
```

---

# 9
Here is a relaxed structure of GdScBiAu from the Alexandria database. Energies are from PBE-GGA.

Results
The energy of formation comes out at -14.213 kcal/mol of atoms. As for the density of states at the Fermi level: 4.39 states/eV/f.u.

The structure in POSCAR format:
```
GdScBiAu
1.0
-1.757 4.876 0.231
-4.636 1.185 -2.005
-3.958 1.186 3.139
Sc Bi Gd Au
1 1 1 1
Direct
0.250 0.250 0.250
0.500 0.500 0.500
0.750 0.750 0.750
0.000 0.000 0.000
```

---

# 10
Here is a relaxed structure of GdSnBiAu from the Alexandria database. Energies are from PBE-GGA.

Results
The energy of formation comes out at -8.582 kcal/mol of atoms. As for the density of states at the Fermi level: 3.05 states/eV/f.u.

The structure in POSCAR format:
```
GdSnBiAu
1.0
-0.997 -1.651 -4.951
3.836 0.150 -3.674
2.154 -4.521 -1.778
Gd Bi Sn Au
1 1 1 1
Direct
0.000 0.000 0.000
0.750 0.750 0.750
0.500 0.500 0.500
0.250 0.250 0.250
```

---

# 11
Here is a relaxed structure of SrGdBiAu from the Alexandria database. Energies are from PBE-GGA.

Results
The energy of formation comes out at -16.101 kcal/mol of atoms. As for the density of states at the Fermi level: 6.47 states/eV/f.u.

The structure in POSCAR format:
```
SrGdBiAu
1.0
-1.219 -3.832 -3.759
1.771 -5.170 0.665
-3.581 -4.002 1.211
Gd Sr Bi Au
1 1 1 1
Direct
0.750 0.750 0.750
0.250 0.250 0.250
0.500 0.500 0.500
0.000 0.000 0.000
```

---

# 12
Here is a relaxed structure of TbGdBiAu from the Alexandria database. Energies are from PBE-GGA.

Results
The energy of formation comes out at -15.814 kcal/mol of atoms. As for the density of states at the Fermi level: 5.20 states/eV/f.u.

The structure in POSCAR format:
```
TbGdBiAu
1.0
5.323 0.000 0.000
2.662 4.610 0.000
2.662 1.537 4.346
Tb Gd Bi Au
1 1 1 1
Direct
0.500 0.500 0.500
0.000 0.000 0.000
0.250 0.250 0.250
0.750 0.750 0.750
```